[1]
DFT (PBE-GGA) results for a relaxed structure of Sr2LaY.

```
data_Sr2LaY
_space_group_name_H-M_alt 'P 1'
_space_group_IT_number 1
_cell_length_a 3.8082
_cell_length_b 3.8082
_cell_length_c 11.6495
_cell_angle_alpha 90.00
_cell_angle_beta 90.00
_cell_angle_gamma 90.00
loop_
_space_group_symop_operation_xyz
'x,y,z'
loop_
_atom_site_label
_atom_site_fract_x
_atom_site_fract_y
_atom_site_fract_z
Sr1 0.0000 0.0000 0.2435
Sr2 0.0000 0.0000 0.7565
La1 0.5000 0.5000 0.5000
Y1 0.5000 0.5000 0.0000
```

Formation energy from the elements (eV/atom): 0.225
Relative energy among the computed polymorphs (eV/atom): 0.1358

[2]
DFT (PBE-GGA) results for a relaxed structure of SrLaY2.

```
data_SrLaY2
_space_group_name_H-M_alt 'P 1'
_space_group_IT_number 1
_cell_length_a 3.7418
_cell_length_b 3.7418
_cell_length_c 10.8040
_cell_angle_alpha 90.00
_cell_angle_beta 90.00
_cell_angle_gamma 90.00
loop_
_space_group_symop_operation_xyz
'x,y,z'
loop_
_atom_site_label
_atom_site_fract_x
_atom_site_fract_y
_atom_site_fract_z
Sr1 0.0000 0.0000 0.0000
La1 0.5000 0.5000 0.7157
Y1 0.0000 0.0000 0.4865
Y2 0.5000 0.5000 0.2696
```

Formation energy from the elements (eV/atom): 0.107
Relative energy among the computed polymorphs (eV/atom): 0.0000

[3]
DFT (PBE-GGA) results for a relaxed structure of SrLaY2.

```
data_SrLaY2
_space_group_name_H-M_alt 'P 1'
_space_group_IT_number 1
_cell_length_a 5.9713
_cell_length_b 5.9713
_cell_length_c 5.9713
_cell_angle_alpha 60.00
_cell_angle_beta 60.00
_cell_angle_gamma 60.00
loop_
_space_group_symop_operation_xyz
'x,y,z'
loop_
_atom_site_label
_atom_site_fract_x
_atom_site_fract_y
_atom_site_fract_z
Sr1 0.0000 0.0000 0.0000
La1 0.7500 0.7500 0.7500
Y1 0.2500 0.2500 0.2500
Y2 0.5000 0.5000 0.5000
```

Formation energy from the elements (eV/atom): 0.213
Relative energy among the computed polymorphs (eV/atom): 0.1063

[4]
DFT (PBE-GGA) results for a relaxed structure of Sr2LaY.

```
data_Sr2LaY
_space_group_name_H-M_alt 'P 1'
_space_group_IT_number 1
_cell_length_a 7.7166
_cell_length_b 7.7166
_cell_length_c 7.7166
_cell_angle_alpha 102.24
_cell_angle_beta 102.24
_cell_angle_gamma 125.17
loop_
_space_group_symop_operation_xyz
'x,y,z'
loop_
_atom_site_label
_atom_site_fract_x
_atom_site_fract_y
_atom_site_fract_z
Sr1 0.1239 0.6250 0.9989
Sr2 0.3750 0.3739 0.4989
Sr3 0.6261 0.1250 0.0011
Sr4 0.8750 0.8761 0.5011
La1 0.0000 0.0000 0.0000
La2 0.7500 0.2500 0.5000
Y1 0.2500 0.7500 0.5000
Y2 0.5000 0.5000 0.0000
```

Formation energy from the elements (eV/atom): 0.491
Relative energy among the computed polymorphs (eV/atom): 0.4017

[5]
DFT (PBE-GGA) results for a relaxed structure of SrLa2Y.

```
data_SrLa2Y
_space_group_name_H-M_alt 'P 1'
_space_group_IT_number 1
_cell_length_a 3.8650
_cell_length_b 4.9688
_cell_length_c 8.2178
_cell_angle_alpha 90.00
_cell_angle_beta 90.00
_cell_angle_gamma 90.00
loop_
_space_group_symop_operation_xyz
'x,y,z'
loop_
_atom_site_label
_atom_site_fract_x
_atom_site_fract_y
_atom_site_fract_z
Sr1 0.0000 0.0000 0.0000
La1 0.5000 0.5000 0.2873
La2 0.5000 0.5000 0.7127
Y1 0.0000 0.0000 0.5000
```

Formation energy from the elements (eV/atom): 0.100
Relative energy among the computed polymorphs (eV/atom): 0.0238

[6]
DFT (PBE-GGA) results for a relaxed structure of SrLa2Y.

```
data_SrLa2Y
_space_group_name_H-M_alt 'P 1'
_space_group_IT_number 1
_cell_length_a 3.7592
_cell_length_b 5.3486
_cell_length_c 7.7310
_cell_angle_alpha 90.00
_cell_angle_beta 90.06
_cell_angle_gamma 90.00
loop_
_space_group_symop_operation_xyz
'x,y,z'
loop_
_atom_site_label
_atom_site_fract_x
_atom_site_fract_y
_atom_site_fract_z
Sr1 0.0000 0.0000 0.0000
La1 0.0011 0.0000 0.4992
La2 0.4996 0.5000 0.7176
Y1 0.5011 0.5000 0.2679
```

Formation energy from the elements (eV/atom): 0.121
Relative energy among the computed polymorphs (eV/atom): 0.0449

[7]
DFT (PBE-GGA) results for a relaxed structure of SrLa2Y.

```
data_SrLa2Y
_space_group_name_H-M_alt 'P 1'
_space_group_IT_number 1
_cell_length_a 7.2138
_cell_length_b 7.2138
_cell_length_c 7.2138
_cell_angle_alpha 147.15
_cell_angle_beta 128.98
_cell_angle_gamma 62.02
loop_
_space_group_symop_operation_xyz
'x,y,z'
loop_
_atom_site_label
_atom_site_fract_x
_atom_site_fract_y
_atom_site_fract_z
Sr1 0.0000 0.0000 0.0000
La1 0.4776 0.4776 0.0000
La2 0.7341 0.2341 0.5000
Y1 0.2457 0.7457 0.5000
```

Formation energy from the elements (eV/atom): 0.184
Relative energy among the computed polymorphs (eV/atom): 0.1079

[8]
DFT (PBE-GGA) results for a relaxed structure of Sr2LaY.

```
data_Sr2LaY
_space_group_name_H-M_alt 'P 1'
_space_group_IT_number 1
_cell_length_a 6.7340
_cell_length_b 6.7340
_cell_length_c 6.9038
_cell_angle_alpha 100.35
_cell_angle_beta 100.35
_cell_angle_gamma 33.40
loop_
_space_group_symop_operation_xyz
'x,y,z'
loop_
_atom_site_label
_atom_site_fract_x
_atom_site_fract_y
_atom_site_fract_z
Sr1 0.0000 0.0000 0.0000
Sr2 0.2379 0.2379 0.7372
La1 0.4798 0.4798 0.4674
Y1 0.7526 0.7526 0.2612
```

Formation energy from the elements (eV/atom): 0.183
Relative energy among the computed polymorphs (eV/atom): 0.0931

[9]
DFT (PBE-GGA) results for a relaxed structure of SrLa2Y.

```
data_SrLa2Y
_space_group_name_H-M_alt 'P 1'
_space_group_IT_number 1
_cell_length_a 7.3504
_cell_length_b 7.3504
_cell_length_c 7.3504
_cell_angle_alpha 148.72
_cell_angle_beta 129.65
_cell_angle_gamma 60.48
loop_
_space_group_symop_operation_xyz
'x,y,z'
loop_
_atom_site_label
_atom_site_fract_x
_atom_site_fract_y
_atom_site_fract_z
Sr1 0.0000 0.0000 0.0000
La1 0.2719 0.7719 0.5000
La2 0.7281 0.2281 0.5000
Y1 0.5000 0.5000 0.0000
```

Formation energy from the elements (eV/atom): 0.178
Relative energy among the computed polymorphs (eV/atom): 0.1016

[10]
DFT (PBE-GGA) results for a relaxed structure of SrLaY2.

```
data_SrLaY2
_space_group_name_H-M_alt 'P 1'
_space_group_IT_number 1
_cell_length_a 3.6321
_cell_length_b 3.6321
_cell_length_c 12.4863
_cell_angle_alpha 90.00
_cell_angle_beta 90.00
_cell_angle_gamma 114.62
loop_
_space_group_symop_operation_xyz
'x,y,z'
loop_
_atom_site_label
_atom_site_fract_x
_atom_site_fract_y
_atom_site_fract_z
Sr1 0.0000 0.0000 0.0000
La1 0.0000 0.0000 0.5000
Y1 0.5000 0.5000 0.2610
Y2 0.5000 0.5000 0.7390
```

Formation energy from the elements (eV/atom): 0.195
Relative energy among the computed polymorphs (eV/atom): 0.0883

[11]
DFT (PBE-GGA) results for a relaxed structure of SrLa2Zn.

```
data_SrLa2Zn
_space_group_name_H-M_alt 'P 1'
_space_group_IT_number 1
_cell_length_a 7.3437
_cell_length_b 7.3437
_cell_length_c 7.3437
_cell_angle_alpha 102.19
_cell_angle_beta 102.19
_cell_angle_gamma 125.28
loop_
_space_group_symop_operation_xyz
'x,y,z'
loop_
_atom_site_label
_atom_site_fract_x
_atom_site_fract_y
_atom_site_fract_z
Sr1 0.0000 0.0000 0.0000
Sr2 0.7500 0.2500 0.5000
La1 0.1814 0.6250 0.0564
La2 0.3750 0.4314 0.5564
La3 0.5686 0.1250 0.9436
La4 0.8750 0.8186 0.4436
Zn1 0.2500 0.7500 0.5000
Zn2 0.5000 0.5000 0.0000
```

Formation energy from the elements (eV/atom): 0.099

[12]
DFT (PBE-GGA) results for a relaxed structure of SrLa2Zn.

```
data_SrLa2Zn
_space_group_name_H-M_alt 'P 1'
_space_group_IT_number 1
_cell_length_a 3.9953
_cell_length_b 5.4096
_cell_length_c 6.6086
_cell_angle_alpha 90.00
_cell_angle_beta 105.76
_cell_angle_gamma 90.00
loop_
_space_group_symop_operation_xyz
'x,y,z'
loop_
_atom_site_label
_atom_site_fract_x
_atom_site_fract_y
_atom_site_fract_z
Sr1 0.0000 0.0000 0.0000
La1 0.3107 0.5000 0.7032
La2 0.6893 0.5000 0.2968
Zn1 0.5000 0.0000 0.5000
```

Formation energy from the elements (eV/atom): 0.036

| no. | mass density (g/cm³) |
| --- | --- |
| 1 | 4.0 |
| 2 | 4.4 |
| 3 | 4.5 |
| 4 | 4.0 |
| 5 | 4.8 |
| 6 | 4.9 |
| 7 | 4.8 |
| 8 | 4.0 |
| 9 | 4.8 |
| 10 | 4.5 |
| 11 | 5.0 |
| 12 | 5.2 |